1.
First-principles (GGA-PBE) data for crystalline YBiPRu2 at its relaxed geometry, as listed in the Alexandria database.

total magnetic moment: 0.542 μB/atom
ρ: 6.95 g/cm3
formation enthalpy at 0 K: 1.376 eV per atom

a = 4.9713 Å, b = 5.1318 Å, c = 4.9713 Å
α = 90.00°, β = 90.00°, γ = 90.00°
Last column: nearest neighbours and their distance in Å.
Positions (direct):
Ru (0.0000, 0.0000, 0.5000)  2 Y 2.49
Ru (0.5000, 0.0000, 0.0000)  2 Y 2.49
Y (0.0000, 0.0000, 0.0000)  4 Ru 2.49, 2 P 2.57
P (0.0000, 0.5000, 0.0000)  2 Y 2.57
Bi (0.5000, 0.5000, 0.5000)  4 P 3.52, 8 Ru 3.57

***

2.
First-principles (GGA-PBE) data for crystalline Pm3Si2Hg at its relaxed geometry, as listed in the Alexandria database.

total magnetic moment: 0.000 μB/atom
ρ: 6.84 g/cm3
uncorrected formation energy: -0.448 eV/atom

a = 7.7153 Å, b = 7.7153 Å, c = 7.7153 Å
α = 61.53°, β = 61.53°, γ = 61.53°
Last column: nearest neighbours and their distance in Å.
Positions (direct):
Pm (0.7500, 0.4604, 0.0396)  4 Si 2.99-3.06, 2 Hg 3.22
Pm (0.5396, 0.9604, 0.2500)  4 Si 2.99-3.06, 2 Hg 3.22
Pm (0.0396, 0.7500, 0.4604)  4 Si 2.99-3.06, 2 Hg 3.22
Pm (0.4604, 0.0396, 0.7500)  4 Si 2.99-3.06, 2 Hg 3.22
Pm (0.9604, 0.2500, 0.5396)  4 Si 2.99-3.06, 2 Hg 3.22
Pm (0.2500, 0.5396, 0.9604)  4 Si 2.99-3.06, 2 Hg 3.22
Si (0.8528, 0.8528, 0.8528)  1 Hg 2.75, 6 Pm 2.99-3.06
Si (0.3528, 0.3528, 0.3528)  1 Hg 2.75, 6 Pm 2.99-3.06
Si (0.1472, 0.1472, 0.1472)  1 Hg 2.75, 6 Pm 2.99-3.06
Si (0.6472, 0.6472, 0.6472)  1 Hg 2.75, 6 Pm 2.99-3.06
Hg (0.5000, 0.5000, 0.5000)  2 Si 2.75
Hg (0.0000, 0.0000, 0.0000)  2 Si 2.75

***

What total DFT energy (no corrections) values result from the calculations? In sequence: -27.43 -56.18 eV for the cell shown.